Entry 1:
Density functional theory data (GGA-PBE) for a geometry-optimized CeHfSe4 structure.

Values from the calculation:
* ΔE_f (raw): -1.332 eV/atom
* density: 6.1 g cm⁻³
* symmetry: P2_1/c, No. 14

Cell lengths 7.940, 6.267, 7.730 Å; angles 90.00, 116.89, 90.00 degrees
Positions (direct):
Ce: 0.000 0.000 0.000
Ce: 0.000 0.500 0.500
Hf: 0.500 0.000 0.500
Hf: 0.500 0.500 0.000
Se: 0.194 0.233 0.348
Se: 0.194 0.267 0.848
Se: 0.346 0.742 0.682
Se: 0.346 0.758 0.182
Se: 0.654 0.242 0.818
Se: 0.654 0.258 0.318
Se: 0.806 0.733 0.152
Se: 0.806 0.767 0.652


Entry 2:
Density functional theory data (GGA-PBE) for a geometry-optimized Ce3Hf5Se12 structure.

Values from the calculation:
* ΔE_f (raw): -1.224 eV/atom
* density: 6.8 g cm⁻³
* symmetry: Ia-3d, No. 230

Cell lengths 14.234, 14.234, 14.234 Å; angles 109.47, 109.47, 109.47 degrees
Positions (direct):
Ce: 0.125 0.250 0.375
Ce: 0.125 0.375 0.750
Ce: 0.250 0.375 0.125
Ce: 0.250 0.875 0.625
Ce: 0.375 0.125 0.250
Ce: 0.375 0.750 0.125
Ce: 0.625 0.250 0.875
Ce: 0.625 0.875 0.750
Ce: 0.750 0.125 0.375
Ce: 0.750 0.625 0.875
Ce: 0.875 0.625 0.250
Ce: 0.875 0.750 0.625
Hf: 0.000 0.000 0.000
Hf: 0.000 0.000 0.500
Hf: 0.000 0.500 0.000
Hf: 0.000 0.500 0.500
Hf: 0.125 0.750 0.875
Hf: 0.125 0.875 0.250
Hf: 0.250 0.125 0.875
Hf: 0.250 0.625 0.375
Hf: 0.375 0.250 0.625
Hf: 0.375 0.625 0.750
Hf: 0.500 0.000 0.000
Hf: 0.500 0.000 0.500
Hf: 0.500 0.500 0.000
Hf: 0.500 0.500 0.500
Hf: 0.625 0.375 0.250
Hf: 0.625 0.750 0.375
Hf: 0.750 0.375 0.625
Hf: 0.750 0.875 0.125
Hf: 0.875 0.125 0.750
Hf: 0.875 0.250 0.125
Se: 0.035 0.212 0.120
Se: 0.035 0.323 0.915
Se: 0.085 0.620 0.408
Se: 0.085 0.965 0.677
Se: 0.092 0.712 0.677
Se: 0.092 0.880 0.415
Se: 0.120 0.035 0.212
Se: 0.120 0.585 0.908
Se: 0.177 0.212 0.592
Se: 0.177 0.465 0.585
Se: 0.212 0.120 0.035
Se: 0.212 0.592 0.177
Se: 0.288 0.323 0.908
Se: 0.288 0.465 0.380
Se: 0.323 0.908 0.288
Se: 0.323 0.915 0.035
Se: 0.380 0.288 0.465
Se: 0.380 0.592 0.915
Se: 0.408 0.085 0.620
Se: 0.408 0.823 0.788
Se: 0.415 0.092 0.880
Se: 0.415 0.823 0.535
Se: 0.465 0.380 0.288
Se: 0.465 0.585 0.177
Se: 0.535 0.415 0.823
Se: 0.535 0.620 0.712
Se: 0.585 0.177 0.465
Se: 0.585 0.908 0.120
Se: 0.592 0.177 0.212
Se: 0.592 0.915 0.380
Se: 0.620 0.408 0.085
Se: 0.620 0.712 0.535
Se: 0.677 0.085 0.965
Se: 0.677 0.092 0.712
Se: 0.712 0.535 0.620
Se: 0.712 0.677 0.092
Se: 0.788 0.408 0.823
Se: 0.788 0.880 0.965
Se: 0.823 0.535 0.415
Se: 0.823 0.788 0.408
Se: 0.880 0.415 0.092
Se: 0.880 0.965 0.788
Se: 0.908 0.120 0.585
Se: 0.908 0.288 0.323
Se: 0.915 0.035 0.323
Se: 0.915 0.380 0.592
Se: 0.965 0.677 0.085
Se: 0.965 0.788 0.880


Entry 3:
Density functional theory data (GGA-PBE) for a geometry-optimized CeHfSe2 structure.

Values from the calculation:
* ΔE_f (raw): -0.946 eV/atom
* density: 7.3 g cm⁻³
* symmetry: R-3m, No. 166

Cell lengths 9.455, 9.455, 9.455 Å; angles 22.55, 22.55, 22.55 degrees
Positions (direct):
Ce: 0.000 0.000 0.000
Hf: 0.500 0.500 0.500
Se: 0.108 0.108 0.108
Se: 0.892 0.892 0.892


Entry 4:
Density functional theory data (GGA-PBE) for a geometry-optimized CeHf2Se structure.

Values from the calculation:
* ΔE_f (raw): -0.102 eV/atom
* density: 10.4 g cm⁻³
* symmetry: R-3m, No. 166

Cell lengths 10.250, 10.250, 10.250 Å; angles 18.23, 18.23, 18.23 degrees
Positions (direct):
Ce: 0.000 0.000 0.000
Hf: 0.101 0.101 0.101
Hf: 0.899 0.899 0.899
Se: 0.500 0.500 0.500


Entry 5:
Density functional theory data (GGA-PBE) for a geometry-optimized CeHf2Se4 structure.

Values from the calculation:
* ΔE_f (raw): -1.300 eV/atom
* density: 8.3 g cm⁻³
* symmetry: Cmcm, No. 63

Cell lengths 6.604, 6.604, 13.389 Å; angles 90.00, 90.00, 146.05 degrees
Positions (direct):
Ce: 0.108 0.892 0.750
Ce: 0.892 0.108 0.250
Hf: 0.352 0.648 0.559
Hf: 0.352 0.648 0.941
Hf: 0.648 0.352 0.059
Hf: 0.648 0.352 0.441
Se: 0.000 0.000 0.000
Se: 0.000 0.000 0.500
Se: 0.274 0.726 0.126
Se: 0.274 0.726 0.374
Se: 0.436 0.564 0.750
Se: 0.564 0.436 0.250
Se: 0.726 0.274 0.626
Se: 0.726 0.274 0.874


Entry 6:
Density functional theory data (GGA-PBE) for a geometry-optimized CeHf3Se6 structure.

Values from the calculation:
* ΔE_f (raw): -1.344 eV/atom
* density: 8.3 g cm⁻³
* symmetry: P2_1/m, No. 11

Cell lengths 11.184, 3.821, 11.374 Å; angles 90.00, 108.63, 90.00 degrees
Positions (direct):
Ce: 0.047 0.250 0.205
Ce: 0.953 0.750 0.795
Hf: 0.128 0.250 0.576
Hf: 0.318 0.750 0.996
Hf: 0.443 0.250 0.354
Hf: 0.557 0.750 0.646
Hf: 0.682 0.250 0.004
Hf: 0.872 0.750 0.424
Se: 0.104 0.750 0.409
Se: 0.132 0.250 0.972
Se: 0.203 0.750 0.749
Se: 0.278 0.750 0.229
Se: 0.380 0.250 0.565
Se: 0.485 0.250 0.119
Se: 0.515 0.750 0.881
Se: 0.620 0.750 0.435
Se: 0.722 0.250 0.771
Se: 0.797 0.250 0.251
Se: 0.868 0.750 0.028
Se: 0.896 0.250 0.591


Entry 7:
Density functional theory data (GGA-PBE) for a geometry-optimized CeHfSe3 structure.

Values from the calculation:
* offset from the most stable computed form: 0.000 eV per atom
* ΔE_f (raw): -1.520 eV/atom
* density: 7.7 g cm⁻³
* symmetry: Pnma, No. 62

Cell lengths 8.620, 3.929, 14.085 Å; angles 90.00, 90.00, 90.00 degrees
Positions (direct):
Ce: 0.086 0.250 0.175
Ce: 0.414 0.750 0.675
Ce: 0.586 0.250 0.325
Ce: 0.914 0.750 0.825
Hf: 0.158 0.750 0.450
Hf: 0.342 0.250 0.950
Hf: 0.658 0.750 0.050
Hf: 0.842 0.250 0.550
Se: 0.027 0.750 0.619
Se: 0.155 0.750 0.014
Se: 0.191 0.250 0.786
Se: 0.309 0.750 0.286
Se: 0.345 0.250 0.514
Se: 0.473 0.250 0.119
Se: 0.527 0.750 0.881
Se: 0.655 0.750 0.486
Se: 0.691 0.250 0.714
Se: 0.809 0.750 0.214
Se: 0.845 0.250 0.986
Se: 0.973 0.250 0.381


Entry 8:
Density functional theory data (GGA-PBE) for a geometry-optimized CeHfSe3 structure.

Values from the calculation:
* offset from the most stable computed form: 0.023 eV per atom
* ΔE_f (raw): -1.497 eV/atom
* density: 7.1 g cm⁻³
* symmetry: C2/m, No. 12

Cell lengths 6.984, 6.984, 10.508 Å; angles 106.02, 106.02, 31.81 degrees
Positions (direct):
Ce: 0.039 0.039 0.351
Ce: 0.961 0.961 0.649
Hf: 0.255 0.255 0.158
Hf: 0.745 0.745 0.842
Se: 0.125 0.125 0.910
Se: 0.363 0.363 0.782
Se: 0.377 0.377 0.410
Se: 0.623 0.623 0.590
Se: 0.637 0.637 0.218
Se: 0.875 0.875 0.090